No. 1
Material: Ce6HgPb
Method: DFT, GGA-PBE
State: relaxed

The structure in extended XYZ format:
```
8
Lattice="6.669 -0.072 -0.723 -2.548 6.164 -0.723 -1.475 -2.180 6.050" Properties=species:S:1:pos:R:3 pbc="T T T"
Ce 4.088 1.158 3.659
Ce -0.159 -0.235 3.894
Pb 1.323 1.956 2.302
Hg 0.000 0.000 0.000
Ce 3.092 -0.314 0.945
Ce -0.446 4.225 3.659
Ce 2.805 4.147 0.710
Ce -1.441 2.754 0.945
```

M_tot = 2.1 μB per cell
mass density = 9.16 g/cm3
E above lowest polymorph = 0.282 eV/atom
symmetry = C2/m (12)

No. 2
Material: Ce2HgPb3
Method: DFT, GGA-PBE
State: relaxed

The structure in extended XYZ format:
```
6
Lattice="4.391 0.000 -1.389 0.000 4.810 0.000 0.163 0.000 8.148" Properties=species:S:1:pos:R:3 pbc="T T T"
Hg 0.000 0.000 0.000
Ce 0.708 2.405 2.239
Pb 3.017 0.000 1.904
Pb 1.536 0.000 4.855
Ce 3.845 2.405 4.520
Pb 2.195 2.405 -0.694
```

M_tot = 1.7 μB per cell
mass density = 10.57 g/cm3
E above lowest polymorph = 0.000 eV/atom
symmetry = Cmmm (65)

Look up the E above lowest polymorph of the second one. 0.000 eV/atom